(1)
La10Y4Er | GGA-PBE | optimized geometry

```
La10Y4Er
1.0
-5.0513 5.0513 5.4386
5.0513 -5.0513 5.4386
5.0513 5.0513 -5.4386
La Y Er
10 4 1
Direct
0.0513 0.4040 0.1235 La
0.0722 0.9487 0.3527 La
0.2500 0.7500 0.5000 La
0.2805 0.9278 0.8765 La
0.4040 0.2805 0.3527 La
0.5960 0.7195 0.6473 La
0.7195 0.0722 0.1235 La
0.7500 0.2500 0.5000 La
0.9278 0.0513 0.6473 La
0.9487 0.5960 0.8765 La
0.2293 0.4416 0.6709 Y
0.4416 0.7707 0.2123 Y
0.5584 0.2293 0.7877 Y
0.7707 0.5584 0.3291 Y
0.0000 0.0000 0.0000 Er
```

Computed properties:
Symmetry: I4/m
Mass density (g cm⁻³): 5.72

***

(2)
La3YEr7 | GGA-PBE | optimized geometry

```
La3YEr7
1.0
5.5223 0.0000 0.0000
0.0062 6.9942 0.0000
0.0016 3.3215 9.4734
La Y Er
3 1 7
Direct
0.0000 0.0000 0.0000 La
0.4997 0.2824 0.5044 La
0.5003 0.7176 0.4956 La
0.0000 0.5000 0.0000 Y
0.0000 0.0000 0.5000 Er
0.9998 0.4249 0.6706 Er
0.0002 0.5751 0.3294 Er
0.5001 0.1481 0.2103 Er
0.4998 0.3232 0.8643 Er
0.5002 0.6768 0.1357 Er
0.4999 0.8519 0.7897 Er
```

Computed properties:
Energy above the lowest structure with this stoichiometry (eV per atom): 0.000
Symmetry: P-1
Mass density (g cm⁻³): 7.61

***

(3)
La5Y2Er12 | GGA-PBE | optimized geometry

```
La5Y2Er12
1.0
6.1998 0.0000 0.0000
-0.0075 9.4889 0.0000
-1.0362 -2.0393 10.4630
La Y Er
5 2 12
Direct
0.0000 0.0000 0.0000 La
0.1571 0.6333 0.9458 La
0.2611 0.0541 0.5782 La
0.7389 0.9459 0.4218 La
0.8429 0.3667 0.0542 La
0.4188 0.6813 0.5269 Y
0.5812 0.3187 0.4731 Y
0.0554 0.2139 0.3171 Er
0.1032 0.4220 0.6305 Er
0.2122 0.8400 0.2625 Er
0.3182 0.2635 0.8947 Er
0.3690 0.4733 0.2121 Er
0.4751 0.8940 0.8421 Er
0.5249 0.1060 0.1579 Er
0.6310 0.5267 0.7879 Er
0.6818 0.7365 0.1053 Er
0.7878 0.1600 0.7375 Er
0.8968 0.5780 0.3695 Er
0.9446 0.7861 0.6829 Er
```

Computed properties:
Symmetry: P-1
Mass density (g cm⁻³): 7.77

***

(4)
LaY5Er6 | GGA-PBE | optimized geometry

```
LaY5Er6
1.0
3.0792 -5.3294 0.0000
3.0792 5.3294 0.0000
-2.0469 0.0000 11.6086
La Y Er
1 5 6
Direct
0.0000 0.0000 0.0000 La
0.1671 0.8329 0.5000 Y
0.3334 0.6666 0.0000 Y
0.5000 0.5000 0.5000 Y
0.6666 0.3334 0.0000 Y
0.8329 0.1671 0.5000 Y
0.0843 0.4183 0.2523 Er
0.2498 0.2498 0.7477 Er
0.4183 0.0843 0.2523 Er
0.5817 0.9157 0.7477 Er
0.7502 0.7502 0.2523 Er
0.9157 0.5817 0.7477 Er
```

Computed properties:
Symmetry: C2/m
Mass density (g cm⁻³): 6.92

***

(5)
La3Y4Er5 | GGA-PBE | optimized geometry

```
La3Y4Er5
1.0
7.9891 -2.9931 0.0000
7.9891 2.9931 0.0000
-4.2106 0.0000 8.3832
La Y Er
3 4 5
Direct
0.0000 0.0000 0.0000 La
0.2901 0.2901 0.7637 La
0.7099 0.7099 0.2363 La
0.2949 0.2949 0.1236 Y
0.4187 0.4187 0.5600 Y
0.5813 0.5813 0.4400 Y
0.7051 0.7051 0.8764 Y
0.0723 0.0723 0.6949 Er
0.1708 0.1708 0.3860 Er
0.5000 0.5000 0.0000 Er
0.8292 0.8292 0.6140 Er
0.9277 0.9277 0.3051 Er
```

Computed properties:
Symmetry: C2/m
Mass density (g cm⁻³): 6.66

***

(6)
La3Y5Er3 | GGA-PBE | optimized geometry

```
La3Y5Er3
1.0
9.7371 0.0000 0.0000
-4.8685 8.4326 0.0000
0.0000 0.0000 5.2194
La Y Er
3 5 3
Direct
0.0000 0.6386 0.0000 La
0.3614 0.3614 0.0000 La
0.6386 0.0000 0.0000 La
0.0000 0.2620 0.0000 Y
0.2620 0.0000 0.0000 Y
0.3333 0.6667 0.0000 Y
0.6667 0.3333 0.0000 Y
0.7380 0.7380 0.0000 Y
0.0000 0.4737 0.5000 Er
0.4737 0.0000 0.5000 Er
0.5263 0.5263 0.5000 Er
```

Computed properties:
Symmetry: P-62m
Mass density (g cm⁻³): 5.28

***

V (computed, Å³ per atom): 37.0, 33.3, 32.4, 31.8, 33.4, 39.0
Total magnetic moment (computed, Bohr magnetons per cell): 0.0, 0.0, 0.0, 0.0, 0.0, 0.0
ΔE_f (computed, eV/atom): 0.35, 0.16, 0.03, 0.03, 0.24, 0.80